Record 1
A relaxed structure of KNaFe3. Source: Alexandria via LeMat-Bulk, functional PBEsol.

Unit cell a=4.6748 b=4.6748 c=4.6748 alpha=90.00 beta=90.00 gamma=90.00
Last column: nearest neighbours and their distance in Å.
Atoms (fractional coordinates):
Fe: 0.5000 0.0000 0.0000  2 K 2.34
Fe: 0.0000 0.0000 0.5000  2 K 2.34
Fe: 0.0000 0.5000 0.0000  2 K 2.34
K: 0.0000 0.0000 0.0000  6 Fe 2.34
Na: 0.5000 0.5000 0.5000  12 Fe 3.31

ρ, g/cm3: 3.7
ΔH_f (0 K), eV per atom: 2.45
Space group: No. 221


Record 2
A relaxed structure of Zn3Sn2Pt2. Source: Alexandria via LeMat-Bulk, functional PBEsol.

Unit cell a=4.3135 b=4.3135 c=15.5222 alpha=90.00 beta=90.00 gamma=120.00
Last column: nearest neighbours and their distance in Å.
Atoms (fractional coordinates):
Sn: 0.6667 0.3333 0.9272  4 Pt 2.73-2.75, 3 Zn 2.90
Sn: 0.6667 0.3333 0.5728  4 Pt 2.73-2.75, 3 Zn 2.90
Sn: 0.3333 0.6667 0.4272  4 Pt 2.73-2.75, 3 Zn 2.90
Sn: 0.3333 0.6667 0.0728  4 Pt 2.73-2.75, 3 Zn 2.90
Zn: 0.0000 0.0000 0.8310  4 Zn 2.52-2.79, 4 Pt 2.62-2.79
Zn: 0.0000 0.0000 0.1690  4 Zn 2.52-2.79, 4 Pt 2.62-2.79
Zn: 0.6667 0.3333 0.2500  3 Pt 2.49
Zn: 0.0000 0.0000 0.6690  4 Zn 2.52-2.79, 4 Pt 2.62-2.79
Zn: 0.3333 0.6667 0.7500  3 Pt 2.49
Zn: 0.0000 0.0000 0.3310  4 Zn 2.52-2.79, 4 Pt 2.62-2.79
Pt: 0.0000 0.0000 0.0000  2 Zn 2.62, 6 Sn 2.73
Pt: 0.3333 0.6667 0.2500  3 Zn 2.49, 2 Sn 2.75
Pt: 0.0000 0.0000 0.5000  2 Zn 2.62, 6 Sn 2.73
Pt: 0.6667 0.3333 0.7500  3 Zn 2.49, 2 Sn 2.75

ρ, g/cm3: 10.9
ΔH_f (0 K), eV per atom: -0.44
Space group: No. 194


Record 3
A relaxed structure of TlReN2. Source: Alexandria via LeMat-Bulk, functional PBEsol.

Unit cell a=4.0033 b=4.0033 c=4.0033 alpha=60.00 beta=60.00 gamma=60.00
Last column: nearest neighbours and their distance in Å.
Atoms (fractional coordinates):
N: 0.7500 0.7500 0.7500  4 Tl 2.45, 4 Re 2.45
N: 0.2500 0.2500 0.2500  4 Tl 2.45, 4 Re 2.45
Tl: 0.5000 0.5000 0.5000  8 N 2.45
Re: 0.0000 0.0000 0.0000  8 N 2.45

Energy above the lowest structure with this stoichiometry, meV/atom: 1497
ρ, g/cm3: 15.3
Space group: No. 225
Raw formation energy, meV/atom: 1641


Record 4
A relaxed structure of AlC2. Source: Alexandria via LeMat-Bulk, functional PBEsol.

Unit cell a=3.0676 b=3.0676 c=7.4795 alpha=90.00 beta=90.00 gamma=120.00
Last column: nearest neighbours and their distance in Å.
Atoms (fractional coordinates):
Al: 0.0000 0.0000 0.0000  6 C 2.15
Al: 0.0000 0.0000 0.5000  6 C 2.15
C: 0.3333 0.6667 0.6635  1 C 1.29
C: 0.3333 0.6667 0.8365  1 C 1.29
C: 0.6667 0.3333 0.1635  1 C 1.29
C: 0.6667 0.3333 0.3365  1 C 1.29

Energy above the lowest structure with this stoichiometry, meV/atom: 0
ρ, g/cm3: 2.8
ΔH_f (0 K), eV per atom: 0.57
Space group: No. 194


Record 5
A relaxed structure of Fe2AgIr. Source: Alexandria via LeMat-Bulk, functional PBEsol.

Unit cell a=2.6338 b=2.6338 c=8.7849 alpha=90.00 beta=90.00 gamma=114.90
Last column: nearest neighbours and their distance in Å.
Atoms (fractional coordinates):
Fe: 0.0000 0.0000 0.7406  2 Ir 2.54, 6 Fe 2.63-2.83, 2 Ag 2.68
Fe: 0.0000 0.0000 0.2594  2 Ir 2.54, 6 Fe 2.63-2.83, 2 Ag 2.68
Ir: 0.5000 0.5000 0.5000  4 Fe 2.54, 6 Ir 2.63-2.83
Ag: 0.5000 0.5000 0.0000  6 Ag 2.63-2.83, 4 Fe 2.68

ρ, g/cm3: 12.4
ΔH_f (0 K), eV per atom: 0.32
Space group: No. 65


Record 6
A relaxed structure of LaRh2Br. Source: Alexandria via LeMat-Bulk, functional PBEsol.

Unit cell a=3.8371 b=3.3711 c=5.9041 alpha=90.00 beta=90.00 gamma=90.00
Last column: nearest neighbours and their distance in Å.
Atoms (fractional coordinates):
Rh: 0.0000 0.0000 0.2549  2 Rh 2.89-3.01, 4 La 2.94, 4 Br 2.96
Rh: 0.0000 0.0000 0.7451  2 Rh 2.89-3.01, 4 La 2.94, 4 Br 2.96
La: 0.5000 0.5000 0.5000  8 Rh 2.94, 2 Br 2.95
Br: 0.5000 0.5000 0.0000  2 La 2.95, 8 Rh 2.96

Energy above the lowest structure with this stoichiometry, meV/atom: 122
ρ, g/cm3: 9.2
Space group: No. 47
Raw formation energy, meV/atom: -95


Record 7
A relaxed structure of NaFeCoOs2. Source: Alexandria via LeMat-Bulk, functional PBEsol.

Unit cell a=4.4039 b=4.4039 c=4.4210 alpha=90.00 beta=90.00 gamma=90.00
Last column: nearest neighbours and their distance in Å.
Atoms (fractional coordinates):
Os: 0.0000 0.5000 0.0000  2 Co 2.20
Os: 0.5000 0.0000 0.0000  2 Co 2.20
Co: 0.0000 0.0000 0.0000  4 Os 2.20, 2 Fe 2.21
Na: 0.5000 0.5000 0.5000  4 Fe 3.11, 8 Os 3.12
Fe: 0.0000 0.0000 0.5000  2 Co 2.21

ρ, g/cm3: 10.0
ΔH_f (0 K), eV per atom: 1.61
Space group: No. 123


Record 8
A relaxed structure of KYPt4. Source: Alexandria via LeMat-Bulk, functional PBEsol.

Unit cell a=5.3891 b=5.3891 c=5.3891 alpha=60.00 beta=60.00 gamma=60.00
Last column: nearest neighbours and their distance in Å.
Atoms (fractional coordinates):
K: 0.0000 0.0000 0.0000  12 Pt 3.16, 4 Y 3.30
Pt: 0.3750 0.3750 0.8750  6 Pt 2.69
Pt: 0.8750 0.3750 0.3750  6 Pt 2.69
Pt: 0.3750 0.3750 0.3750  6 Pt 2.69
Pt: 0.3750 0.8750 0.3750  6 Pt 2.69
Y: 0.7500 0.7500 0.7500  12 Pt 3.16, 4 K 3.30

ρ, g/cm3: 13.6
ΔH_f (0 K), eV per atom: -0.63
Space group: No. 216


Record 9
A relaxed structure of CsTeAsN2. Source: Alexandria via LeMat-Bulk, functional PBEsol.

Unit cell a=4.2812 b=4.2812 c=7.2372 alpha=90.00 beta=90.00 gamma=90.00
Last column: nearest neighbours and their distance in Å.
Atoms (fractional coordinates):
N: 0.0000 0.5000 0.0000  2 Cs 2.14
N: 0.5000 0.0000 0.0000  2 Cs 2.14
As: 0.5000 0.5000 0.5000  4 Te 3.03
Te: 0.0000 0.0000 0.5000  4 As 3.03
Cs: 0.0000 0.0000 0.0000  4 N 2.14

ρ, g/cm3: 4.5
Space group: No. 123
Raw formation energy, meV/atom: 2269


Record 10
A relaxed structure of BaLiSb3. Source: Alexandria via LeMat-Bulk, functional PBEsol.

Unit cell a=5.1789 b=5.1789 c=5.1789 alpha=90.00 beta=90.00 gamma=90.00
Last column: nearest neighbours and their distance in Å.
Atoms (fractional coordinates):
Sb: 0.0000 0.0000 0.5000  2 Li 2.59
Sb: 0.5000 0.0000 0.0000  2 Li 2.59
Sb: 0.0000 0.5000 0.0000  2 Li 2.59
Ba: 0.5000 0.5000 0.5000  12 Sb 3.66
Li: 0.0000 0.0000 0.0000  6 Sb 2.59

ρ, g/cm3: 6.1
Space group: No. 221
Raw formation energy, meV/atom: -360


Record 11
A relaxed structure of TcBCl3. Source: Alexandria via LeMat-Bulk, functional PBEsol.

Unit cell a=4.7104 b=4.7104 c=4.7104 alpha=90.00 beta=90.00 gamma=90.00
Last column: nearest neighbours and their distance in Å.
Atoms (fractional coordinates):
Tc: 0.0000 0.0000 0.0000  6 Cl 2.36
B: 0.5000 0.5000 0.5000  12 Cl 3.33
Cl: 0.0000 0.0000 0.5000  2 Tc 2.36
Cl: 0.0000 0.5000 0.0000  2 Tc 2.36
Cl: 0.5000 0.0000 0.0000  2 Tc 2.36

ρ, g/cm3: 3.4
Space group: No. 221
Raw formation energy, meV/atom: 804


Record 12
A relaxed structure of KLi3Hg. Source: Alexandria via LeMat-Bulk, functional PBEsol.

Unit cell a=5.2699 b=5.2699 c=5.2699 alpha=90.00 beta=90.00 gamma=90.00
Last column: nearest neighbours and their distance in Å.
Atoms (fractional coordinates):
Li: 0.0000 0.0000 0.5000  2 Hg 2.63
Li: 0.0000 0.5000 0.0000  2 Hg 2.63
Li: 0.5000 0.0000 0.0000  2 Hg 2.63
Hg: 0.0000 0.0000 0.0000  6 Li 2.63
K: 0.5000 0.5000 0.5000  12 Li 3.73

ρ, g/cm3: 3.0
ΔH_f (0 K), eV per atom: -0.06
Space group: No. 221


The lowest ρ belongs to which entry? AlC2